# 1
YBe3Nb | Alexandria | GGA-PBE | optimized geometry; M_tot = 0.00 μB per formula unit; final energy = -4.824 eV/atom; symmetry = Pm-3m; ΔE_f = 718 meV per atom
1.0
4.473 0.000 0.000
0.000 4.473 0.000
0.000 0.000 4.473
Y Be Nb
1 3 1
Direct
0.000 0.000 0.000 Y
0.000 0.500 0.500 Be
0.500 0.000 0.500 Be
0.500 0.500 0.000 Be
0.500 0.500 0.500 Nb

=====

# 2
TcRh | Alexandria | GGA-PBE | optimized geometry; M_tot = 0.00 μB per formula unit; final energy = -8.966 eV/atom; symmetry = C2/m; ΔE_f = -108 meV per atom
1.0
4.960 -1.366 0.000
4.960 1.366 0.000
-2.260 0.000 4.211
Tc Rh
2 2
Direct
0.126 0.126 0.292 Tc
0.874 0.874 0.708 Tc
0.378 0.378 0.208 Rh
0.622 0.622 0.792 Rh

=====

Here are the calculated DOS(E_F) numbers, same order: 4.53, 3.82 (states/eV/cell).